#A
The following is a PBE-GGA calculation of a geometry-optimized TiNb2I structure, from the Alexandria database.

Structure (POSCAR):
```
TiNb2I
1.0
4.0295 0.0000 0.0000
0.0000 4.0295 0.0000
2.0147 2.0147 10.0653
Ti I Nb
2 2 4
Cartesian
2.0147 2.0147 0.0000
2.0147 4.0295 5.0327
0.0000 0.0000 0.0000
4.0295 2.0147 5.0327
3.0226 1.0074 2.5163
1.0069 3.0221 2.5163
5.0368 5.0374 7.5490
3.0221 3.0216 7.5490
```

Space group: I-42d (122)
Total magnetic moment (μB per cell): 0.00

#B
The following is a PBE-GGA calculation of a geometry-optimized TiNb2I structure, from the Alexandria database.

Structure (POSCAR):
```
TiNb2I
1.0
0.0000 3.3435 3.3435
3.3435 0.0000 3.3435
3.3435 3.3435 0.0000
Nb Ti I
2 1 1
Cartesian
1.6718 1.6718 1.6718
5.0153 5.0153 5.0153
0.0000 0.0000 0.0000
3.3435 3.3435 3.3435
```

Space group: Fm-3m (225)
Total magnetic moment (μB per cell): 0.00

Most stable: #B (next structure +4.8 kJ/mol of atoms)

#A
The following is a PBE-GGA calculation of a geometry-optimized TiNb3I structure, from the Alexandria database.

Structure (POSCAR):
```
TiNb3I
1.0
-3.8254 -0.0971 2.9616
-2.7880 -1.5205 -3.6510
1.0038 -4.5927 1.1461
Ti Nb I
1 3 1
Cartesian
0.0000 0.0000 0.0000
-1.9127 -0.0485 1.4808
-1.3940 -0.7603 -1.8255
0.5019 -2.2964 0.5731
-2.8048 -3.1051 0.2284
```

Space group: Pm-3m (221)
Total magnetic moment (μB per cell): 0.00

#B
The following is a PBE-GGA calculation of a geometry-optimized TiNb3I structure, from the Alexandria database.

Structure (POSCAR):
```
TiNb3I
1.0
4.9724 0.0000 0.0000
0.0000 4.9724 0.0000
0.0000 0.0000 4.9724
Ti I Nb
1 1 3
Cartesian
2.4862 2.4862 2.4862
0.0000 0.0000 0.0000
0.0000 0.0000 2.4862
2.4862 0.0000 0.0000
0.0000 2.4862 0.0000
```

Space group: Pm-3m (221)
Total magnetic moment (μB per cell): 0.01

Most stable: #A (next structure +32.0 kJ/mol of atoms)

#A
The following is a PBE-GGA calculation of a geometry-optimized Nb3TlI structure, from the Alexandria database.

Structure (POSCAR):
```
Nb3TlI
1.0
-1.8560 0.9412 -4.7702
-1.5944 -4.9414 -0.3546
-4.5933 1.3349 2.0505
Nb Tl I
3 1 1
Cartesian
-0.7972 -2.4707 -0.1773
-0.9280 0.4706 -2.3851
-2.2967 0.6674 1.0253
0.0000 0.0000 0.0000
-4.0218 -1.3327 -1.5372
```

Space group: Pm-3m (221)
Total magnetic moment (μB per cell): 0.00

#B
The following is a PBE-GGA calculation of a geometry-optimized Nb3TlI structure, from the Alexandria database.

Structure (POSCAR):
```
Nb3TlI
1.0
-1.5639 -1.5876 4.5194
4.7864 -0.3296 1.5405
-0.1897 4.7710 1.6103
Tl I Nb
1 1 3
Cartesian
1.5164 1.4269 3.8351
0.0000 0.0000 0.0000
-0.7820 -0.7938 2.2597
-0.0949 2.3855 0.8051
2.3932 -0.1648 0.7703
```

Space group: Pm-3m (221)
Total magnetic moment (μB per cell): 0.00

Most stable: #B (next structure +50.3 kJ/mol of atoms)

#A
The following is a PBE-GGA calculation of a geometry-optimized NbTl3I structure, from the Alexandria database.

Structure (POSCAR):
```
NbTl3I
1.0
-4.0669 4.7963 0.3862
-4.2468 -3.8156 2.6645
2.2623 1.4597 5.6960
Tl Nb I
3 1 1
Cartesian
1.1312 0.7298 2.8480
-2.0335 2.3981 0.1931
-2.1234 -1.9078 1.3322
-3.0257 1.2202 4.3734
0.0000 0.0000 0.0000
```

Space group: Pm-3m (221)
Total magnetic moment (μB per cell): 4.60

#B
The following is a PBE-GGA calculation of a geometry-optimized NbTl3I structure, from the Alexandria database.

Structure (POSCAR):
```
NbTl3I
1.0
-0.4928 3.9499 4.0761
-4.4952 2.2265 -2.7010
-3.4655 -3.4497 2.9239
Nb I Tl
1 1 3
Cartesian
0.0000 0.0000 0.0000
-4.2267 1.3633 2.1495
-2.2476 1.1132 -1.3505
-1.7327 -1.7248 1.4619
-0.2464 1.9749 2.0380
```

Space group: Pm-3m (221)
Total magnetic moment (μB per cell): 3.55

Most stable: #B (next structure +70.7 kJ/mol of atoms)

#A
The following is a PBE-GGA calculation of a geometry-optimized Nb3VI structure, from the Alexandria database.

Structure (POSCAR):
```
Nb3VI
1.0
-2.0388 -4.3982 1.2125
4.1038 -2.3481 -1.6174
1.9933 0.3358 4.5700
Nb I V
3 1 1
Cartesian
2.0519 -1.1741 -0.8087
-1.0194 -2.1991 0.6062
0.9966 0.1679 2.2850
0.0000 0.0000 0.0000
2.0292 -3.2053 2.0825
```

Space group: Pm-3m (221)
Total magnetic moment (μB per cell): 0.83

#B
The following is a PBE-GGA calculation of a geometry-optimized Nb3VI structure, from the Alexandria database.

Structure (POSCAR):
```
Nb3VI
1.0
-1.0447 4.5507 1.0080
-4.0318 -0.3639 -2.5356
-2.3389 -1.4054 3.9206
I Nb V
1 3 1
Cartesian
-3.7077 1.3907 1.1965
-2.0159 -0.1820 -1.2678
-0.5224 2.2754 0.5040
-1.1694 -0.7027 1.9603
0.0000 0.0000 0.0000
```

Space group: Pm-3m (221)
Total magnetic moment (μB per cell): 0.00

Most stable: #B (next structure +70.5 kJ/mol of atoms)

#A
The following is a PBE-GGA calculation of a geometry-optimized Nb3WI structure, from the Alexandria database.

Structure (POSCAR):
```
Nb3WI
1.0
-0.0981 -4.0886 2.8242
2.6044 -2.4480 -3.4536
4.2321 1.4118 2.1907
I Nb W
1 3 1
Cartesian
3.3692 -2.5624 0.7807
2.1160 0.7059 1.0954
1.3022 -1.2240 -1.7268
-0.0490 -2.0443 1.4121
0.0000 0.0000 0.0000
```

Space group: Pm-3m (221)
Total magnetic moment (μB per cell): 0.00

#B
The following is a PBE-GGA calculation of a geometry-optimized Nb3WI structure, from the Alexandria database.

Structure (POSCAR):
```
Nb3WI
1.0
-1.3646 -1.4483 4.4996
0.1628 -4.6950 -1.4618
4.7242 -0.2566 1.3501
W Nb I
1 3 1
Cartesian
1.7612 -3.1999 2.1939
2.3621 -0.1283 0.6750
-0.6823 -0.7242 2.2498
0.0814 -2.3475 -0.7309
0.0000 0.0000 0.0000
```

Space group: Pm-3m (221)
Total magnetic moment (μB per cell): 1.50

Most stable: #A (next structure +74.8 kJ/mol of atoms)

#A
The following is a PBE-GGA calculation of a geometry-optimized NbW3I structure, from the Alexandria database.

Structure (POSCAR):
```
NbW3I
1.0
-3.3815 3.0717 -1.4768
-2.9816 -3.6739 -0.8144
-1.6511 0.3435 4.4952
W I Nb
3 1 1
Cartesian
-0.8256 0.1718 2.2476
-1.6908 1.5358 -0.7384
-1.4908 -1.8370 -0.4072
0.0000 0.0000 0.0000
-4.0071 -0.1294 1.1020
```

Space group: Pm-3m (221)
Total magnetic moment (μB per cell): 0.00

#B
The following is a PBE-GGA calculation of a geometry-optimized NbW3I structure, from the Alexandria database.

Structure (POSCAR):
```
NbW3I
1.0
4.8780 0.0000 0.0000
0.0000 4.8780 0.0000
0.0000 0.0000 4.8780
W I Nb
3 1 1
Cartesian
2.4390 0.0000 0.0000
0.0000 0.0000 2.4390
0.0000 2.4390 0.0000
2.4390 2.4390 2.4390
0.0000 0.0000 0.0000
```

Space group: Pm-3m (221)
Total magnetic moment (μB per cell): 0.00

Most stable: #B (next structure +21.3 kJ/mol of atoms)

#A
The following is a PBE-GGA calculation of a geometry-optimized Y2NbI2 structure, from the Alexandria database.

Structure (POSCAR):
```
Y2NbI2
1.0
-5.7986 -0.4067 5.1467
-1.5925 -7.2215 -2.3648
2.6847 -1.5426 2.9029
I Y Nb
4 4 2
Cartesian
-3.3674 -6.2643 -0.2147
-4.0238 -1.3639 2.9966
-5.9550 -5.0542 2.8216
-1.4361 -2.5740 -0.0396
-0.8840 -2.0650 2.8230
-0.6364 -5.6025 0.7141
-3.8224 -7.1058 2.8618
-4.0700 -3.5683 4.9707
-3.6956 -3.8141 1.3910
0.0000 0.0000 0.0000
```

Space group: P4/mbm (127)
Total magnetic moment (μB per cell): 0.00

#B
The following is a PBE-GGA calculation of a geometry-optimized Y2NbI2 structure, from the Alexandria database.

Structure (POSCAR):
```
Y2NbI2
1.0
5.9374 0.0000 0.0000
0.0000 5.9374 0.0000
2.9687 2.9687 4.3380
I Y Nb
2 2 1
Cartesian
5.9374 5.9374 2.7434
2.9687 2.9687 1.5946
2.9687 5.9374 2.1690
5.9374 2.9687 2.1690
0.0000 0.0000 0.0000
```

Space group: I4/mmm (139)
Total magnetic moment (μB per cell): 1.17

Most stable: #A (next structure +19.1 kJ/mol of atoms)

#A
The following is a PBE-GGA calculation of a geometry-optimized ZrNbZnI structure, from the Alexandria database.

Structure (POSCAR):
```
ZrNbZnI
1.0
3.4015 -0.0021 -0.0020
-1.6853 5.0915 -0.0194
-1.6929 -1.9909 4.7928
Zn I Nb Zr
1 1 1 1
Cartesian
-0.4775 -0.2669 2.1295
-2.1645 1.1489 4.5007
1.2261 0.8887 0.2328
-0.4642 2.5972 2.5479
```

Space group: P1 (1)
Total magnetic moment (μB per cell): 0.00

#B
The following is a PBE-GGA calculation of a geometry-optimized ZrNbZnI structure, from the Alexandria database.

Structure (POSCAR):
```
ZrNbZnI
1.0
-1.4877 -2.1704 1.9018
1.6460 -3.5899 -2.8033
4.6077 -1.0451 2.5642
Zr Zn Nb I
1 1 1 1
Cartesian
2.1310 -2.4595 0.2724
4.7608 -3.5226 1.0381
3.3549 -2.8976 3.4631
2.4879 -5.3475 0.0029
```

Space group: P1 (1)
Total magnetic moment (μB per cell): 0.00

Most stable: #A (next structure +7.3 kJ/mol of atoms)

#A
The following is a PBE-GGA calculation of a geometry-optimized ZrNbZnI structure, from the Alexandria database.

Structure (POSCAR):
```
ZrNbZnI
1.0
4.4759 0.0000 0.0000
0.0000 3.4239 0.0000
0.0000 0.0000 5.4163
Nb Zr I Zn
1 1 1 1
Cartesian
2.2379 0.0000 0.1123
2.2379 1.7119 2.6177
0.0000 0.0000 3.7141
0.0000 1.7119 0.8228
```

Space group: Pmm2 (25)
Total magnetic moment (μB per cell): 0.00

#B
The following is a PBE-GGA calculation of a geometry-optimized ZrNbZnI structure, from the Alexandria database.

Structure (POSCAR):
```
ZrNbZnI
1.0
-1.0718 1.4176 2.7856
-3.5422 -3.7789 -1.2960
4.3814 -3.0263 1.3207
Nb Zr Zn I
1 1 1 1
Cartesian
-2.6817 -3.0282 -0.4513
0.4067 -2.6081 0.5210
-1.6772 -3.5382 2.1257
2.6917 -3.6082 1.9677
```

Space group: P1 (1)
Total magnetic moment (μB per cell): 0.00

#C
The following is a PBE-GGA calculation of a geometry-optimized ZrNbZnI structure, from the Alexandria database.

Structure (POSCAR):
```
ZrNbZnI
1.0
4.9675 0.0000 0.0047
0.0000 3.2689 0.0000
-2.2429 0.0000 10.0526
Zr Nb I Zn
2 2 2 2
Cartesian
4.3674 0.0000 2.4015
3.2459 1.6345 7.4278
1.7327 0.0000 0.2307
0.6112 1.6345 5.2570
3.0628 0.0000 5.0101
1.9413 1.6345 10.0364
0.6451 0.0000 7.5964
1.7665 1.6345 2.5701
```

Space group: Cm (8)
Total magnetic moment (μB per cell): 0.00

#D
The following is a PBE-GGA calculation of a geometry-optimized ZrNbZnI structure, from the Alexandria database.

Structure (POSCAR):
```
ZrNbZnI
1.0
3.6136 0.0000 0.0000
0.0000 3.6208 0.0000
0.0000 0.0000 6.6908
Zr I Zn Nb
1 1 1 1
Cartesian
1.8068 0.0000 1.5102
0.0000 1.8104 6.4913
1.8068 0.0000 4.2354
0.0000 1.8104 3.1098
```

Space group: P4mm (99)
Total magnetic moment (μB per cell): 0.00

Most stable: #D (next structure +5.5 kJ/mol of atoms)

#A
The following is a PBE-GGA calculation of a geometry-optimized ZrNbZnI structure, from the Alexandria database.

Structure (POSCAR):
```
ZrNbZnI
1.0
-2.3560 0.6296 2.3031
1.8107 -3.1496 2.7132
3.2097 3.7828 2.2492
Nb Zn I Zr
1 1 1 1
Cartesian
-0.8431 0.7095 1.3862
1.0593 0.3098 3.4416
3.8865 1.9388 3.4458
1.8654 2.1986 1.3072
```

Space group: Pmm2 (25)
Total magnetic moment (μB per cell): 0.00

#B
The following is a PBE-GGA calculation of a geometry-optimized ZrNbZnI structure, from the Alexandria database.

Structure (POSCAR):
```
ZrNbZnI
1.0
4.9793 0.0000 0.0071
0.0000 3.2888 0.0000
-2.2474 0.0000 9.9571
Zr I Zn Nb
2 2 2 2
Cartesian
2.0745 1.6444 3.0990
0.9508 0.0000 8.0776
-1.5364 1.6444 8.2787
-0.4127 0.0000 3.3002
0.8482 1.6444 5.7422
1.9719 0.0000 0.7637
3.2245 0.0000 5.9395
4.3483 1.6444 0.9610
```

Space group: Cm (8)
Total magnetic moment (μB per cell): 0.00

#C
The following is a PBE-GGA calculation of a geometry-optimized ZrNbZnI structure, from the Alexandria database.

Structure (POSCAR):
```
ZrNbZnI
1.0
-3.5074 -1.3002 0.9561
2.9114 -0.2671 2.5217
-4.7279 18.1845 7.3844
Zr Zn I Nb
3 3 3 3
Cartesian
-4.7348 11.9943 6.7368
-1.7910 6.8886 2.7973
0.5567 0.2157 2.3357
-1.3706 7.6284 5.3459
-3.7183 14.3014 5.8075
-1.9342 1.2226 2.3625
-5.8301 16.2069 8.4474
-0.5385 4.4283 4.0464
-2.8863 11.1012 4.5080
-0.8537 3.2834 1.3333
-3.2338 14.7950 8.2561
-3.7974 8.3891 5.2727
```

Space group: R3m (160)
Total magnetic moment (μB per cell): 0.00

Most stable: #C (next structure +3.2 kJ/mol of atoms)

#A
The following is a PBE-GGA calculation of a geometry-optimized Zr2NbI structure, from the Alexandria database.

Structure (POSCAR):
```
Zr2NbI
1.0
-2.7436 -0.5450 4.1238
-4.7422 -1.4915 -0.3416
-1.2963 -4.5562 1.5460
I Zr Nb
1 2 1
Cartesian
-4.3911 -3.2963 2.6641
-6.5866 -4.9445 3.9961
-2.1955 -1.6482 1.3320
0.0000 0.0000 0.0000
```

Space group: Fm-3m (225)
Total magnetic moment (μB per cell): 0.00

#B
The following is a PBE-GGA calculation of a geometry-optimized Zr2NbI structure, from the Alexandria database.

Structure (POSCAR):
```
Zr2NbI
1.0
4.2742 0.0000 0.0000
0.0000 4.2742 0.0000
2.1371 2.1371 10.2415
Zr I Nb
4 2 2
Cartesian
1.0722 3.2057 2.5604
3.2021 1.0686 2.5604
5.3428 5.3392 7.6811
3.2057 3.2093 7.6811
4.2742 2.1371 5.1207
0.0000 0.0000 0.0000
2.1371 4.2742 5.1207
2.1371 2.1371 0.0000
```

Space group: I-42d (122)
Total magnetic moment (μB per cell): 0.00

Most stable: #A (next structure +25.6 kJ/mol of atoms)